Entry 1:
Here is crystalline NaOsNO2 at its relaxed geometry from Alexandria. Energies are from PBE-GGA.

Results
ΔE_f (raw) (meV/atom): 1981

Cell: 3.8985 3.8985 3.9486 Å, 90.00 90.00 90.00°
Each line ends with the local moment (μB).
Fractional coordinates of all 5 atoms:
Na  0.0000  0.0000  0.0000  -0.03
Os  0.5000  0.5000  0.5000  2.49
O  0.0000  0.5000  0.0000  -0.35
O  0.5000  0.0000  0.0000  -0.35
N  0.0000  0.0000  0.5000  -1.08

Entry 2:
Here is crystalline TlCr2 at its relaxed geometry from Alexandria. Energies are from PBE-GGA.

Results
E above lowest polymorph (meV per atom): 156
DFT formation energy (meV/atom): 596

Cell: 5.3223 5.3223 5.3223 Å, 146.43 146.43 48.21°
Fractional coordinates of all 3 atoms:
Cr  0.3038  0.3038  0.0000
Cr  0.6962  0.6962  0.0000
Tl  0.0000  0.0000  0.0000

Entry 3:
Here is crystalline YMg3 at its relaxed geometry from Alexandria. Energies are from PBE-GGA.

Results
DFT formation energy (meV/atom): 26

Cell: 3.3147 3.3147 10.8366 Å, 90.00 90.00 120.00°
Fractional coordinates of all 4 atoms:
Y  0.6667  0.3333  0.5000
Mg  0.6667  0.3333  0.0000
Mg  0.3333  0.6667  0.2393
Mg  0.3333  0.6667  0.7607

Entry 4:
Here is crystalline Cu2BrCl at its relaxed geometry from Alexandria. Energies are from PBE-GGA.

Results
E above lowest polymorph (meV per atom): 62
ΔE_f (raw) (meV/atom): -243

Cell: 4.0285 4.0285 7.1023 Å, 90.00 90.00 119.14°
Fractional coordinates of all 4 atoms:
Cu  0.0000  0.0000  0.0179
Cu  0.5000  0.5000  0.2147
Br  0.0000  0.0000  0.3895
Cl  0.5000  0.5000  0.8779

Entry 5:
Here is crystalline PmInAu at its relaxed geometry from Alexandria. Energies are from PBE-GGA.

Results
E above lowest polymorph (meV per atom): 185
DFT formation energy (meV/atom): -556

Cell: 3.8554 6.5584 7.1635 Å, 116.82 105.61 90.00°
Fractional coordinates of all 6 atoms:
Au  0.5003  0.2726  0.0006
Au  0.4997  0.7274  0.9994
In  0.8771  0.8796  0.7541
In  0.1229  0.1204  0.2459
Pm  0.1614  0.6586  0.3228
Pm  0.8386  0.3414  0.6772

Entry 6:
Here is crystalline InTcSN2 at its relaxed geometry from Alexandria. Energies are from PBE-GGA.

Results
E above lowest polymorph (meV per atom): 0
ΔE_f (raw) (meV/atom): 374

Cell: 3.8750 3.8750 5.1698 Å, 90.00 90.00 90.00°
Fractional coordinates of all 5 atoms:
S  0.0000  0.0000  0.5000
N  0.0000  0.5000  0.0000
N  0.5000  0.0000  0.0000
Tc  0.0000  0.0000  0.0000
In  0.5000  0.5000  0.5000

Entry 7:
Here is crystalline La4HoN5 at its relaxed geometry from Alexandria. Energies are from PBE-GGA.

Results
ΔE_f (raw) (meV/atom): -1384

Cell: 5.4775 6.3545 6.3545 Å, 79.29 64.47 64.47°
Fractional coordinates of all 10 atoms:
La  0.4240  0.4011  0.8045
La  0.8251  0.8045  0.5989
La  0.2285  0.1955  0.4011
La  0.6296  0.5989  0.1955
Ho  0.0329  0.0000  0.0000
N  0.8857  0.3843  0.8060
N  0.2701  0.8060  0.6157
N  0.6917  0.1940  0.3843
N  0.0760  0.6157  0.1940
N  0.4466  0.0000  0.0000

Entry 8:
Here is crystalline Hf2ZrGeH at its relaxed geometry from Alexandria. Energies are from PBE-GGA.

Results
Raw total energy (eV per atom): -7.646

Cell: 4.3873 4.3873 4.2582 Å, 90.00 90.00 90.00°
Fractional coordinates of all 5 atoms:
H  0.0000  0.0000  0.0000
Ge  0.5000  0.5000  0.5000
Hf  0.0000  0.5000  0.0000
Hf  0.5000  0.0000  0.0000
Zr  0.0000  0.0000  0.5000

Entry 9:
Here is crystalline Mg3Ag5Hg at its relaxed geometry from Alexandria. Energies are from PBE-GGA.

Results
E above lowest polymorph (meV per atom): 0
DFT formation energy (meV/atom): -148

Cell: 5.7832 8.1945 8.1942 Å, 120.00 90.00 90.00°
Fractional coordinates of all 18 atoms:
Mg  0.7500  0.3445  0.3445
Mg  0.7500  0.0000  0.6555
Mg  0.7500  0.6555  0.0000
Mg  0.2500  0.6555  0.6555
Mg  0.2500  0.0000  0.3445
Mg  0.2500  0.3445  0.0000
Ag  0.0000  0.6667  0.3334
Ag  0.5000  0.3333  0.6666
Ag  0.0000  0.3333  0.6666
Ag  0.5000  0.6667  0.3334
Ag  0.7500  0.6694  0.6694
Ag  0.7500  0.0000  0.3306
Ag  0.7500  0.3306  0.0000
Ag  0.2500  0.3306  0.3306
Ag  0.2500  0.0000  0.6694
Ag  0.2500  0.6694  0.0000
Hg  0.0000  0.0000  0.0000
Hg  0.5000  0.0000  0.0000

Entry 10:
Here is crystalline DyErInIr at its relaxed geometry from Alexandria. Energies are from PBE-GGA.

Results
DFT formation energy (meV/atom): -568

Cell: 5.0532 5.0532 5.0532 Å, 60.00 60.00 60.00°
Fractional coordinates of all 4 atoms:
Ir  0.0000  0.0000  0.0000
In  0.5000  0.5000  0.5000
Dy  0.7500  0.7500  0.7500
Er  0.2500  0.2500  0.2500

Entry 11:
Here is crystalline Pm2Al4Cu3Rh at its relaxed geometry from Alexandria. Energies are from PBE-GGA.

Results
DFT formation energy (meV/atom): -518

Cell: 4.1910 4.1910 10.3313 Å, 90.00 90.00 90.00°
Fractional coordinates of all 10 atoms:
Pm  0.5000  0.0000  0.2522
Pm  0.0000  0.5000  0.7478
Al  0.5000  0.5000  0.0000
Al  0.0000  0.0000  0.0000
Al  0.5000  0.0000  0.6271
Al  0.0000  0.5000  0.3729
Cu  0.0000  0.0000  0.5000
Cu  0.5000  0.0000  0.8663
Cu  0.0000  0.5000  0.1337
Rh  0.5000  0.5000  0.5000

Entry 12:
Here is crystalline CsPrGe2O6 at its relaxed geometry from Alexandria. Energies are from PBE-GGA.

Results
ΔE_f (raw) (meV/atom): -2139

Cell: 7.6665 7.6665 5.8907 Å, 98.18 98.18 87.55°
Fractional coordinates of all 20 atoms:
Cs  0.1790  0.8210  0.2500
Cs  0.8210  0.1790  0.7500
Pr  0.6185  0.3815  0.2500
Pr  0.3815  0.6185  0.7500
Ge  0.3055  0.1425  0.8073
Ge  0.8575  0.6945  0.6927
Ge  0.6945  0.8575  0.1927
Ge  0.1425  0.3055  0.3073
O  0.9251  0.3812  0.2580
O  0.6188  0.0749  0.2420
O  0.0749  0.6188  0.7420
O  0.3812  0.9251  0.7580
O  0.1733  0.1574  0.0431
O  0.8426  0.8267  0.4569
O  0.8267  0.8426  0.9569
O  0.1574  0.1733  0.5431
O  0.3238  0.4477  0.3712
O  0.5523  0.6762  0.1288
O  0.6762  0.5523  0.6288
O  0.4477  0.3238  0.8712